The following is a DFT calculation (GGA-PBE) of an optimized crystal structure of LuTlTe3Pt.

Summary:
As for the density: 9.04 g/cm³. For the magnetic moment, the calculation gives 0.00 μB/f.u. The energy above the most stable polymorph in this dataset is 0 meV per atom. As for the total energy: -4.41 eV per atom.

Lattice parameters (Å, degrees): 8.4304 8.4304 10.4550 90.00 90.00 151.76
Last column: nearest neighbours and their distance in Å.
Sites, in units of the cell vectors:
1 Te 0.6303 0.3697 0.5666  1 Pt 2.68
2 Te 0.0895 0.9105 0.2500  2 Pt 2.68, 2 Lu 3.00
3 Te 0.3697 0.6303 0.4334  1 Pt 2.68
4 Te 0.6303 0.3697 0.9334  1 Pt 2.68
5 Te 0.9105 0.0895 0.7500  2 Pt 2.68, 2 Lu 3.00
6 Te 0.3697 0.6303 0.0666  1 Pt 2.68
7 Lu 0.0000 0.0000 0.5000  6 Te 3.00-3.04, 4 Pt 3.34
8 Lu 0.0000 0.0000 0.0000  6 Te 3.00-3.04, 4 Pt 3.34
9 Pt 0.5159 0.4841 0.7500  4 Te 2.68
10 Pt 0.4841 0.5159 0.2500  4 Te 2.68
11 Tl 0.2414 0.7586 0.7500  6 Te 3.35-3.45
12 Tl 0.7586 0.2414 0.2500  6 Te 3.35-3.45